Record 1
InCo2Cl: relaxed, GGA-PBE.

Results
Crystal system = tetragonal
Energy relative to the lowest polymorph listed for this composition = 423.1 meV per atom

abc: 3.6181 3.6181 10.4809
angles: 90.00 90.00 90.00
Space group I-4m2 (No. 119)
Unique sites:
In: 0.0000 0.0000 0.0000 (multiplicity 2)
Co: 0.0000 0.0000 0.5000 (multiplicity 2)
Co: 0.0000 0.5000 0.2500 (multiplicity 2)
Cl: 0.0000 0.5000 0.7500 (multiplicity 2)


Record 2
Sm3Si2Pt9: relaxed, GGA-PBE.

Results
Crystal system = hexagonal
E_tot = -6.631 eV per atom

abc: 6.3861 6.3861 14.6735
angles: 90.00 90.00 120.00
Space group P6_3/mmc (No. 194)
Unique sites:
Sm: 0.0000 0.0000 0.2500 (multiplicity 2)
Sm: 0.3333 0.6667 0.0723 (multiplicity 4)
Si: 0.3333 0.6667 0.6564 (multiplicity 4)
Pt: 0.0386 0.5193 0.2500 (multiplicity 6)
Pt: 0.1475 0.2951 0.5794 (multiplicity 12)


Record 3
CaCoRh2: relaxed, GGA-PBE.

Results
ΔH_f (0 K) = 0.102 eV/atom
Crystal system = monoclinic
Energy relative to the lowest polymorph listed for this composition = 83.1 meV per atom

abc: 9.0872 2.8815 5.0693
angles: 90.00 102.57 90.00
Space group C2/m (No. 12)
Unique sites:
Ca: 0.0000 0.0000 0.0000 (multiplicity 2)
Co: 0.0000 0.5000 0.5000 (multiplicity 2)
Rh: 0.2338 0.0000 0.7076 (multiplicity 4)


Record 4
ScIN2O: relaxed, GGA-PBE.

Results
Crystal system = tetragonal
E_tot = -5.393 eV per atom

abc: 4.3471 4.3471 3.9412
angles: 90.00 90.00 90.00
Space group P4/mmm (No. 123)
Unique sites:
Sc: 0.0000 0.0000 0.0000 (multiplicity 1)
I: 0.5000 0.5000 0.5000 (multiplicity 1)
N: 0.0000 0.5000 0.0000 (multiplicity 2)
O: 0.0000 0.0000 0.5000 (multiplicity 1)


Record 5
BeCo2Cu: relaxed, GGA-PBE.

Results
ΔH_f (0 K) = 0.078 eV/atom
Crystal system = monoclinic

abc: 4.7268 7.7525 2.4200
angles: 90.00 107.73 90.00
Space group C2/m (No. 12)
Unique sites:
Be: 0.0000 0.0000 0.0000 (multiplicity 2)
Co: 0.2500 0.2500 0.5000 (multiplicity 4)
Cu: 0.0000 0.5000 0.0000 (multiplicity 2)


Record 6
Tb2YMg3: relaxed, GGA-PBE.

Results
ΔH_f (0 K) = -0.093 eV/atom
Crystal system = tetragonal

abc: 3.8043 3.8043 11.3699
angles: 90.00 90.00 90.00
Space group P4/mmm (No. 123)
Unique sites:
Tb: 0.0000 0.0000 0.1662 (multiplicity 2)
Y: 0.0000 0.0000 0.5000 (multiplicity 1)
Mg: 0.5000 0.5000 0.0000 (multiplicity 1)
Mg: 0.5000 0.5000 0.3335 (multiplicity 2)


Record 7
KTcCl2: relaxed, GGA-PBE.

Results
Crystal system = trigonal
Energy relative to the lowest polymorph listed for this composition = 47.7 meV per atom

abc: 4.2264 4.2264 25.3241
angles: 90.00 90.00 120.00
Space group R-3m (No. 166, hexagonal axes)
Unique sites:
K: 0.0000 0.0000 0.0000 (multiplicity 3)
Tc: 0.0000 0.0000 0.5000 (multiplicity 3)
Cl: 0.0000 0.0000 0.4063 (multiplicity 6)


Number 1: total magnetization 6.71 Bohr magnetons per cell. Number 2: total magnetization 0.00 Bohr magnetons per cell. Number 3: total magnetization 4.90 Bohr magnetons per cell. Number 4: total magnetization 0.02 Bohr magnetons per cell. Number 5: total magnetization 5.75 Bohr magnetons per cell. Number 6: total magnetization 0.00 Bohr magnetons per cell. Number 7: total magnetization 12.00 Bohr magnetons per cell.